Arrangement 1

Computed, not measured: NaSb2Au2 after structural relaxation at the PBEsol level of DFT.

CIF file:
```
data_NaSb2Au2
_cell_length_a 4.906
_cell_length_b 4.906
_cell_length_c 10.490
_cell_angle_alpha 90.00
_cell_angle_beta 90.00
_cell_angle_gamma 90.00
_space_group_name_H-M_alt 'I 4/m m m'
_space_group_IT_number 139
_space_group_name_Hall '-I 4 2'
loop_
_atom_site_label
_atom_site_type_symbol
_atom_site_fract_x
_atom_site_fract_y
_atom_site_fract_z
Na1 Na 0.000 0.000 0.000
Sb1 Sb 0.000 0.500 0.250
Au1 Au 0.000 0.000 0.371
```

Values from the calculation:
Calculated volume   25.24 Å³/atom

Arrangement 2

Computed, not measured: NaSb2Au2 after structural relaxation at the PBEsol level of DFT.

CIF file:
```
data_NaSb2Au2
_cell_length_a 4.663
_cell_length_b 4.663
_cell_length_c 11.538
_cell_angle_alpha 90.00
_cell_angle_beta 90.00
_cell_angle_gamma 90.00
_space_group_name_H-M_alt 'I 4/m m m'
_space_group_IT_number 139
_space_group_name_Hall '-I 4 2'
loop_
_atom_site_label
_atom_site_type_symbol
_atom_site_fract_x
_atom_site_fract_y
_atom_site_fract_z
Na1 Na 0.000 0.000 0.000
Sb1 Sb 0.000 0.000 0.377
Au1 Au 0.000 0.500 0.250
```

Values from the calculation:
Calculated volume   25.09 Å³/atom

Going by the energies, arrangement 2 is most stable and the next is 27 meV/atom up.

Arrangement 1

Computed, not measured: NaSb2Au after structural relaxation at the PBEsol level of DFT.

CIF file:
```
data_NaSb2Au
_cell_length_a 7.140
_cell_length_b 7.140
_cell_length_c 7.140
_cell_angle_alpha 90.00
_cell_angle_beta 90.00
_cell_angle_gamma 90.00
_space_group_name_H-M_alt 'F m -3 m'
_space_group_IT_number 225
_space_group_name_Hall '-F 4 2 3'
loop_
_atom_site_label
_atom_site_type_symbol
_atom_site_fract_x
_atom_site_fract_y
_atom_site_fract_z
Na1 Na 0.000 0.000 0.000
Sb1 Sb 0.250 0.250 0.250
Au1 Au 0.000 0.000 0.500
```

Values from the calculation:
Calculated volume   22.75 Å³/atom

Arrangement 2

Computed, not measured: NaSb2Au after structural relaxation at the PBEsol level of DFT.

CIF file:
```
data_NaSb2Au
_cell_length_a 8.429
_cell_length_b 8.429
_cell_length_c 5.800
_cell_angle_alpha 90.00
_cell_angle_beta 90.00
_cell_angle_gamma 90.00
_space_group_name_H-M_alt 'I -4 2 d'
_space_group_IT_number 122
_space_group_name_Hall 'I -4 2bw'
loop_
_atom_site_label
_atom_site_type_symbol
_atom_site_fract_x
_atom_site_fract_y
_atom_site_fract_z
Na1 Na 0.000 0.000 0.000
Sb1 Sb 0.184 0.250 0.625
Au1 Au 0.000 0.000 0.500
```

Values from the calculation:
Calculated volume   25.75 Å³/atom

Going by the energies, arrangement 2 is most stable and the next is 173 meV/atom up.

Arrangement 1

Computed, not measured: Na2Si2Au after structural relaxation at the PBEsol level of DFT.

CIF file:
```
data_Na2Si2Au
_cell_length_a 6.295
_cell_length_b 6.295
_cell_length_c 4.901
_cell_angle_alpha 90.00
_cell_angle_beta 90.00
_cell_angle_gamma 90.00
_space_group_name_H-M_alt 'P 4/m b m'
_space_group_IT_number 127
_space_group_name_Hall '-P 4 2ab'
loop_
_atom_site_label
_atom_site_type_symbol
_atom_site_fract_x
_atom_site_fract_y
_atom_site_fract_z
Na1 Na 0.178 0.322 0.000
Si1 Si 0.130 0.630 0.500
Au1 Au 0.000 0.000 0.500
```

Values from the calculation:
Calculated volume   19.42 Å³/atom

Arrangement 2

Computed, not measured: Na2Si2Au after structural relaxation at the PBEsol level of DFT.

CIF file:
```
data_Na2Si2Au
_cell_length_a 3.831
_cell_length_b 3.831
_cell_length_c 12.974
_cell_angle_alpha 90.00
_cell_angle_beta 90.00
_cell_angle_gamma 90.00
_space_group_name_H-M_alt 'I 4/m m m'
_space_group_IT_number 139
_space_group_name_Hall '-I 4 2'
loop_
_atom_site_label
_atom_site_type_symbol
_atom_site_fract_x
_atom_site_fract_y
_atom_site_fract_z
Na1 Na 0.000 0.500 0.250
Si1 Si 0.000 0.000 0.084
Au1 Au 0.000 0.000 0.500
```

Values from the calculation:
Calculated volume   19.04 Å³/atom

Going by the energies, arrangement 1 is most stable and the next is 512 meV/atom up.

Arrangement 1

Computed, not measured: NaSiAu3 after structural relaxation at the PBEsol level of DFT.

CIF file:
```
data_NaSiAu3
_cell_length_a 8.865
_cell_length_b 8.865
_cell_length_c 8.865
_cell_angle_alpha 90.00
_cell_angle_beta 90.00
_cell_angle_gamma 90.00
_space_group_name_H-M_alt 'P a -3'
_space_group_IT_number 205
_space_group_name_Hall '-P 2ac 2ab 3'
loop_
_atom_site_label
_atom_site_type_symbol
_atom_site_fract_x
_atom_site_fract_y
_atom_site_fract_z
Na1 Na 0.096 0.096 0.096
Si1 Si 0.120 0.620 0.880
Au1 Au 0.091 0.726 0.134
```

Values from the calculation:
Calculated volume   17.41 Å³/atom

Arrangement 2

Computed, not measured: NaSiAu3 after structural relaxation at the PBEsol level of DFT.

CIF file:
```
data_NaSiAu3
_cell_length_a 4.780
_cell_length_b 4.780
_cell_length_c 4.780
_cell_angle_alpha 90.00
_cell_angle_beta 90.00
_cell_angle_gamma 90.00
_space_group_name_H-M_alt 'P m -3 m'
_space_group_IT_number 221
_space_group_name_Hall '-P 4 2 3'
loop_
_atom_site_label
_atom_site_type_symbol
_atom_site_fract_x
_atom_site_fract_y
_atom_site_fract_z
Na1 Na 0.000 0.000 0.000
Si1 Si 0.500 0.500 0.500
Au1 Au 0.000 0.000 0.500
```

Values from the calculation:
Calculated volume   21.84 Å³/atom

Going by the energies, arrangement 1 is most stable and the next is 1460 meV/atom up.

Arrangement 1

Computed, not measured: Na2Zn2Au after structural relaxation at the PBEsol level of DFT.

CIF file:
```
data_Na2Zn2Au
_cell_length_a 6.590
_cell_length_b 6.590
_cell_length_c 4.795
_cell_angle_alpha 90.00
_cell_angle_beta 90.00
_cell_angle_gamma 90.00
_space_group_name_H-M_alt 'P 4/m b m'
_space_group_IT_number 127
_space_group_name_Hall '-P 4 2ab'
loop_
_atom_site_label
_atom_site_type_symbol
_atom_site_fract_x
_atom_site_fract_y
_atom_site_fract_z
Na1 Na 0.180 0.320 0.000
Zn1 Zn 0.135 0.635 0.500
Au1 Au 0.000 0.000 0.500
```

Values from the calculation:
Calculated volume   20.83 Å³/atom

Arrangement 2

Computed, not measured: Na2Zn2Au after structural relaxation at the PBEsol level of DFT.

CIF file:
```
data_Na2Zn2Au
_cell_length_a 3.814
_cell_length_b 3.814
_cell_length_c 13.695
_cell_angle_alpha 90.00
_cell_angle_beta 90.00
_cell_angle_gamma 90.00
_space_group_name_H-M_alt 'I 4/m m m'
_space_group_IT_number 139
_space_group_name_Hall '-I 4 2'
loop_
_atom_site_label
_atom_site_type_symbol
_atom_site_fract_x
_atom_site_fract_y
_atom_site_fract_z
Na1 Na 0.000 0.500 0.250
Zn1 Zn 0.000 0.000 0.086
Au1 Au 0.000 0.000 0.500
```

Values from the calculation:
Calculated volume   19.92 Å³/atom

Going by the energies, arrangement 1 is most stable and the next is 362 meV/atom up.

Arrangement 1

Computed, not measured: Nb3Au after structural relaxation at the PBEsol level of DFT.

CIF file:
```
data_Nb3Au
_cell_length_a 3.429
_cell_length_b 4.362
_cell_length_c 9.269
_cell_angle_alpha 90.00
_cell_angle_beta 90.00
_cell_angle_gamma 90.00
_space_group_name_H-M_alt 'C m m m'
_space_group_IT_number 65
_space_group_name_Hall '-C 2 2'
loop_
_atom_site_label
_atom_site_type_symbol
_atom_site_fract_x
_atom_site_fract_y
_atom_site_fract_z
Nb1 Nb 0.000 0.000 0.000
Nb2 Nb 0.000 0.500 0.252
Au1 Au 0.000 0.000 0.500
```

Values from the calculation:
Calculated volume   17.33 Å³/atom

Arrangement 2

Computed, not measured: Nb3Au after structural relaxation at the PBEsol level of DFT.

CIF file:
```
data_Nb3Au
_cell_length_a 5.186
_cell_length_b 5.186
_cell_length_c 5.186
_cell_angle_alpha 90.00
_cell_angle_beta 90.00
_cell_angle_gamma 90.00
_space_group_name_H-M_alt 'P m -3 n'
_space_group_IT_number 223
_space_group_name_Hall '-P 4n 2 3'
loop_
_atom_site_label
_atom_site_type_symbol
_atom_site_fract_x
_atom_site_fract_y
_atom_site_fract_z
Nb1 Nb 0.000 0.250 0.500
Au1 Au 0.000 0.000 0.000
```

Values from the calculation:
Calculated volume   17.44 Å³/atom

Going by the energies, arrangement 2 is most stable and the next is 18 meV/atom up.